LaBeSi4 (meta-GGA SCAN, PBEsol geometry); magnetization = 0.000 μB per cell; crystal system = cubic; formation energy (no corrections) = 1.2 eV/f.u.; V = 16.839 Å³/atom
1.0
-0.2611 -1.4472 5.0168
-1.4152 -4.8767 1.2435
3.5288 -3.3298 1.9471
Be Si La
1 4 1
Cartesian
0.4631 -2.4134 2.0519
-0.5791 -4.3769 4.1552
1.2819 -5.3013 2.6478
1.8486 -3.6173 4.5006
1.1537 -6.0119 5.1112
0.0000 0.0000 0.0000